[1]
Density functional theory data (PBE) for a geometry-optimized HoTm2Ni structure.

Calculated values
Energy of formation, meV per atom: -116
Size of the total moment, μB/f.u.: 0.0

Cell and atoms, written as CIF:
```
data_HoTm2Ni
_chemical_formula_sum 'Ho3 Tm6 Ni3'
_cell_length_a 3.7458
_cell_length_b 3.7458
_cell_length_c 26.3351
_cell_angle_alpha 90.00
_cell_angle_beta 90.00
_cell_angle_gamma 120.00
_space_group_name_H-M_alt 'R 3 m'
_space_group_IT_number 160
_space_group_name_Hall 'R 3 -2"'
loop_
_atom_site_label
_atom_site_type_symbol
_atom_site_fract_x
_atom_site_fract_y
_atom_site_fract_z
Ho1 Ho 0.0000 0.0000 0.0000
Tm1 Tm 0.0000 0.0000 0.2278
Tm2 Tm 0.0000 0.0000 0.4430
Ni1 Ni 0.0000 0.0000 0.8361
```

=====

[2]
Density functional theory data (PBE) for a geometry-optimized AgHgSe2 structure.

Calculated values
Formation energy without anion corrections, eV/atom: -0.05
Size of the total moment, μB/f.u.: 0.0

Cell and atoms, written as CIF:
```
data_AgHgSe2
_chemical_formula_sum 'Ag4 Hg4 Se8'
_cell_length_a 6.1326
_cell_length_b 6.1326
_cell_length_c 12.1328
_cell_angle_alpha 90.00
_cell_angle_beta 90.00
_cell_angle_gamma 90.00
_space_group_name_H-M_alt 'I -4 2 d'
_space_group_IT_number 122
_space_group_name_Hall 'I -4 2bw'
loop_
_atom_site_label
_atom_site_type_symbol
_atom_site_fract_x
_atom_site_fract_y
_atom_site_fract_z
Ag1 Ag 0.0000 0.0000 0.0000
Hg1 Hg 0.0000 0.0000 0.5000
Se1 Se 0.2376 0.2500 0.1250
```

=====

[3]
Density functional theory data (PBE) for a geometry-optimized LaSm2Cl8 structure.

Calculated values
Formation energy without anion corrections, eV/atom: -2.12
Size of the total moment, μB/f.u.: 1.1

Cell and atoms, written as CIF:
```
data_LaSm2Cl8
_chemical_formula_sum 'La2 Sm4 Cl16'
_cell_length_a 8.5015
_cell_length_b 12.4756
_cell_length_c 5.3674
_cell_angle_alpha 90.00
_cell_angle_beta 105.89
_cell_angle_gamma 90.00
_space_group_name_H-M_alt 'C 1 2/m 1'
_space_group_IT_number 12
_space_group_name_Hall '-C 2y'
loop_
_atom_site_label
_atom_site_type_symbol
_atom_site_fract_x
_atom_site_fract_y
_atom_site_fract_z
La1 La 0.0000 0.0000 0.0000
Sm1 Sm 0.0000 0.3178 0.5000
Cl1 Cl 0.0000 0.2372 0.0000
Cl2 Cl 0.1300 0.5000 0.8179
Cl3 Cl 0.1924 0.1288 0.5812
```

=====

[4]
Density functional theory data (PBE) for a geometry-optimized CsTl6Te4 structure.

Calculated values
Formation energy without anion corrections, eV/atom: -0.36
Size of the total moment, μB/f.u.: 0.0

Cell and atoms, written as CIF:
```
data_CsTl6Te4
_chemical_formula_sum 'Cs2 Tl12 Te8'
_cell_length_a 5.3757
_cell_length_b 5.3757
_cell_length_c 31.6105
_cell_angle_alpha 90.00
_cell_angle_beta 90.00
_cell_angle_gamma 90.00
_space_group_name_H-M_alt 'I 4/m m m'
_space_group_IT_number 139
_space_group_name_Hall '-I 4 2'
loop_
_atom_site_label
_atom_site_type_symbol
_atom_site_fract_x
_atom_site_fract_y
_atom_site_fract_z
Cs1 Cs 0.0000 0.0000 0.0000
Tl1 Tl 0.0000 0.5000 0.1173
Tl2 Tl 0.0000 0.5000 0.2500
Te1 Te 0.0000 0.0000 0.1840
Te2 Te 0.0000 0.0000 0.4481
```

=====

[5]
Density functional theory data (PBE) for a geometry-optimized Sb2IrIO structure.

Calculated values
Formation energy without anion corrections, eV/atom: 0.87
Size of the total moment, μB/f.u.: 0.0

Cell and atoms, written as CIF:
```
data_Sb2IrIO
_chemical_formula_sum 'Sb2 Ir1 I1 O1'
_cell_length_a 5.0811
_cell_length_b 5.0811
_cell_length_c 5.5364
_cell_angle_alpha 90.00
_cell_angle_beta 90.00
_cell_angle_gamma 90.00
_space_group_name_H-M_alt 'P 4/m m m'
_space_group_IT_number 123
_space_group_name_Hall '-P 4 2'
loop_
_atom_site_label
_atom_site_type_symbol
_atom_site_fract_x
_atom_site_fract_y
_atom_site_fract_z
Sb1 Sb 0.0000 0.5000 0.0000
Ir1 Ir 0.0000 0.0000 0.0000
I1 I 0.0000 0.0000 0.5000
O1 O 0.5000 0.5000 0.5000
```

=====

[6]
Density functional theory data (PBE) for a geometry-optimized ErAl3Au4 structure.

Calculated values
Energy of formation, meV per atom: -539
Size of the total moment, μB/f.u.: 0.0

Cell and atoms, written as CIF:
```
data_ErAl3Au4
_chemical_formula_sum 'Er3 Al9 Au12'
_cell_length_a 4.3962
_cell_length_b 4.3962
_cell_length_c 26.6378
_cell_angle_alpha 90.00
_cell_angle_beta 90.00
_cell_angle_gamma 120.00
_space_group_name_H-M_alt 'R -3 m'
_space_group_IT_number 166
_space_group_name_Hall '-R 3 2"'
loop_
_atom_site_label
_atom_site_type_symbol
_atom_site_fract_x
_atom_site_fract_y
_atom_site_fract_z
Er1 Er 0.0000 0.0000 0.0000
Al1 Al 0.0000 0.0000 0.2476
Al2 Al 0.0000 0.0000 0.5000
Au1 Au 0.0000 0.0000 0.1303
Au2 Au 0.0000 0.0000 0.3948
```

=====

[7]
Density functional theory data (PBE) for a geometry-optimized Li2HoGaS4 structure.

Calculated values
Formation energy without anion corrections, eV/atom: -1.31
Size of the total moment, μB/f.u.: 0.0

Cell and atoms, written as CIF:
```
data_Li2HoGaS4
_chemical_formula_sum 'Li8 Ho4 Ga4 S16'
_cell_length_a 7.2978
_cell_length_b 7.6936
_cell_length_c 10.6188
_cell_angle_alpha 90.00
_cell_angle_beta 90.00
_cell_angle_gamma 90.00
_space_group_name_H-M_alt 'I m m a'
_space_group_IT_number 74
_space_group_name_Hall '-I 2b 2'
loop_
_atom_site_label
_atom_site_type_symbol
_atom_site_fract_x
_atom_site_fract_y
_atom_site_fract_z
Li1 Li 0.0000 0.0000 0.0000
Li2 Li 0.2500 0.2500 0.2500
Ho1 Ho 0.0000 0.0000 0.5000
Ga1 Ga 0.2500 0.2500 0.7500
S1 S 0.0000 0.0296 0.7557
S2 S 0.2434 0.2500 0.0013
```

=====

[8]
Density functional theory data (PBE) for a geometry-optimized Ti3AsOs structure.

Calculated values
Energy of formation, meV per atom: 529
Size of the total moment, μB/f.u.: 0.0

Cell and atoms, written as CIF:
```
data_Ti3AsOs
_chemical_formula_sum 'Ti3 As1 Os1'
_cell_length_a 4.5583
_cell_length_b 4.5583
_cell_length_c 4.5583
_cell_angle_alpha 90.00
_cell_angle_beta 90.00
_cell_angle_gamma 90.00
_space_group_name_H-M_alt 'P m -3 m'
_space_group_IT_number 221
_space_group_name_Hall '-P 4 2 3'
loop_
_atom_site_label
_atom_site_type_symbol
_atom_site_fract_x
_atom_site_fract_y
_atom_site_fract_z
Ti1 Ti 0.0000 0.0000 0.5000
As1 As 0.0000 0.0000 0.0000
Os1 Os 0.5000 0.5000 0.5000
```

=====

[9]
Density functional theory data (PBE) for a geometry-optimized TbCe3Y2As6 structure.

Calculated values
Energy of formation, meV per atom: -1491
Size of the total moment, μB/f.u.: 1.9

Cell and atoms, written as CIF:
```
data_TbCe3Y2As6
_chemical_formula_sum 'Tb2 Ce6 Y4 As12'
_cell_length_a 7.2333
_cell_length_b 12.5280
_cell_length_c 7.2186
_cell_angle_alpha 90.00
_cell_angle_beta 109.52
_cell_angle_gamma 90.00
_space_group_name_H-M_alt 'C 1 2/m 1'
_space_group_IT_number 12
_space_group_name_Hall '-C 2y'
loop_
_atom_site_label
_atom_site_type_symbol
_atom_site_fract_x
_atom_site_fract_y
_atom_site_fract_z
Tb1 Tb 0.0000 0.0000 0.0000
Ce1 Ce 0.0000 0.1666 0.5000
Ce2 Ce 0.0000 0.5000 0.5000
Y1 Y 0.0000 0.3333 0.0000
As1 As 0.2490 0.1668 0.2466
As2 As 0.2486 0.5000 0.2466
```

=====

[10]
Density functional theory data (PBE) for a geometry-optimized K4Sm3UTe8 structure.

Calculated values
Formation energy without anion corrections, eV/atom: -1.26
Size of the total moment, μB/f.u.: 3.0

Cell and atoms, written as CIF:
```
data_K4Sm3UTe8
_chemical_formula_sum 'K12 Sm9 U3 Te24'
_cell_length_a 9.1278
_cell_length_b 9.1278
_cell_length_c 24.7631
_cell_angle_alpha 90.00
_cell_angle_beta 90.00
_cell_angle_gamma 120.00
_space_group_name_H-M_alt 'R -3 m'
_space_group_IT_number 166
_space_group_name_Hall '-R 3 2"'
loop_
_atom_site_label
_atom_site_type_symbol
_atom_site_fract_x
_atom_site_fract_y
_atom_site_fract_z
K1 K 0.0000 0.0000 0.0000
K2 K 0.0000 0.5000 0.0000
Sm1 Sm 0.0000 0.5000 0.5000
U1 U 0.0000 0.0000 0.5000
Te1 Te 0.0000 0.0000 0.2377
Te2 Te 0.0014 0.5007 0.2374
```

=====

[11]
Density functional theory data (PBE) for a geometry-optimized CdAgBi3 structure.

Calculated values
Energy of formation, meV per atom: 553
Size of the total moment, μB/f.u.: 0.0

Cell and atoms, written as CIF:
```
data_CdAgBi3
_chemical_formula_sum 'Cd1 Ag1 Bi3'
_cell_length_a 5.5486
_cell_length_b 5.5486
_cell_length_c 5.5486
_cell_angle_alpha 90.00
_cell_angle_beta 90.00
_cell_angle_gamma 90.00
_space_group_name_H-M_alt 'P m -3 m'
_space_group_IT_number 221
_space_group_name_Hall '-P 4 2 3'
loop_
_atom_site_label
_atom_site_type_symbol
_atom_site_fract_x
_atom_site_fract_y
_atom_site_fract_z
Cd1 Cd 0.0000 0.0000 0.0000
Ag1 Ag 0.5000 0.5000 0.5000
Bi1 Bi 0.0000 0.5000 0.5000
```

=====

[12]
Density functional theory data (PBE) for a geometry-optimized Nd2TmHfN4 structure.

Calculated values
Formation energy without anion corrections, eV/atom: -1.60
Size of the total moment, μB/f.u.: 0.0

Cell and atoms, written as CIF:
```
data_Nd2TmHfN4
_chemical_formula_sum 'Nd2 Tm1 Hf1 N4'
_cell_length_a 5.9618
_cell_length_b 3.4368
_cell_length_c 6.0568
_cell_angle_alpha 90.00
_cell_angle_beta 108.97
_cell_angle_gamma 90.00
_space_group_name_H-M_alt 'P 1 2/m 1'
_space_group_IT_number 10
_space_group_name_Hall '-P 2y'
loop_
_atom_site_label
_atom_site_type_symbol
_atom_site_fract_x
_atom_site_fract_y
_atom_site_fract_z
Nd1 Nd 0.0000 0.0000 0.0000
Nd2 Nd 0.5000 0.5000 0.0000
Tm1 Tm 0.0000 0.5000 0.5000
Hf1 Hf 0.5000 0.0000 0.5000
N1 N 0.2538 0.0000 0.7224
N2 N 0.2712 0.5000 0.2827
```